Compound: NiSb3Pb
Source: the Alexandria database
Functional: meta-GGA SCAN
Structure: PBEsol geometry

```
data_NiSb3Pb
_space_group_name_H-M_alt 'P m -3 m'
_space_group_IT_number 221
_space_group_name_Hall '-P 4 2 3'
_cell_length_a 5.612
_cell_length_b 5.612
_cell_length_c 5.612
_cell_angle_alpha 90.00
_cell_angle_beta 90.00
_cell_angle_gamma 90.00
loop_
_atom_site_label
_atom_site_type_symbol
_atom_site_fract_x
_atom_site_fract_y
_atom_site_fract_z
Ni1 Ni 0.000 0.000 0.000
Sb1 Sb 0.000 0.500 0.500
Pb1 Pb 0.500 0.500 0.500
```

## Properties
The calculated total energy comes out at -195.614 eV/cell. As for the total magnetization: 0.95 μB/f.u. The volume is 176.7 Å³ per cell. Its density of states at the Fermi level is 1.7765 states/eV/atom.